(1)
The following is a PBE calculation of an optimized crystal structure of Pm3Pr2Se6, from Alexandria via LeMat-Bulk.

Output
Its crystal system is monoclinic.

a b c (Å): 7.305 7.283 7.292
angles (deg): 80.40 70.57 59.90
Positions (direct):
1 Se 0.086 0.329 0.753
2 Se 0.744 0.000 0.749
3 Se 0.416 0.671 0.753
4 Se 0.914 0.671 0.247
5 Se 0.584 0.329 0.247
6 Se 0.256 0.000 0.251
7 Pm 0.665 0.671 0.000
8 Pm 0.000 0.000 0.000
9 Pm 0.335 0.329 0.000
10 Pr 0.835 0.331 0.500
11 Pr 0.165 0.669 0.500

***

(2)
The following is a PBE calculation of an optimized crystal structure of PmPr5Se8, from Alexandria via LeMat-Bulk.

Output
Its crystal system is tetragonal.

a b c (Å): 7.814 7.814 7.814
angles (deg): 108.57 111.30 108.57
Positions (direct):
1 Pr 0.874 0.896 0.272
2 Pr 0.728 0.602 0.624
3 Pr 0.022 0.398 0.126
4 Pr 0.376 0.104 0.978
5 Pr 0.500 0.000 0.500
6 Se 0.775 0.257 0.377
7 Se 0.121 0.743 0.518
8 Se 0.482 0.602 0.225
9 Se 0.626 0.892 0.871
10 Se 0.129 0.755 0.021
11 Se 0.266 0.245 0.374
12 Se 0.623 0.398 0.879
13 Se 0.979 0.108 0.734
14 Pm 0.250 0.500 0.750

***

(3)
The following is a PBE calculation of an optimized crystal structure of Pm2Pr2Se7, from Alexandria via LeMat-Bulk.

Output
Its crystal system is orthorhombic.

a b c (Å): 7.431 6.410 7.431
angles (deg): 89.99 91.94 90.01
Positions (direct):
1 Se 0.000 0.000 0.000
2 Se 0.500 0.736 0.000
3 Se 0.500 0.264 0.000
4 Se 0.000 0.736 0.500
5 Se 0.000 0.264 0.500
6 Se 0.500 0.248 0.500
7 Se 0.500 0.752 0.500
8 Pr 0.264 0.000 0.736
9 Pr 0.736 0.000 0.264
10 Pm 0.274 0.500 0.274
11 Pm 0.726 0.500 0.726

***

Number 1: DOS(E_F) 4.69 states/eV per cell, uncorrected formation energy -1.892 eV/atom. Number 2: DOS(E_F) 6.94 states/eV per cell, uncorrected formation energy -1.864 eV/atom. Number 3: DOS(E_F) 5.31 states/eV per cell, uncorrected formation energy -1.463 eV/atom.